# 1
VASP calculation (PBE) on a relaxed structure of Li3Ho3GaSe8.

Geometry as CIF:
```
data_Li3Ho3GaSe8
_cell_length_a 8.0235
_cell_length_b 8.0235
_cell_length_c 19.1914
_cell_angle_alpha 90.00
_cell_angle_beta 90.00
_cell_angle_gamma 120.00
_symmetry_space_group_name_H-M 'R -3 m'
_symmetry_Int_Tables_number 166
_symmetry_space_group_name_Hall '-R 3 2"'
loop_
_atom_site_label
_atom_site_fract_x
_atom_site_fract_y
_atom_site_fract_z
Li1 0.0000 0.5000 0.0000
Ho1 0.0000 0.5000 0.5000
Ga1 0.0000 0.0000 0.5000
Se1 0.0000 0.0000 0.2517
Se2 0.0201 0.5101 0.2480
```

Summary:
Raw formation energy: -1353 meV per atom



# 2
VASP calculation (PBE) on a relaxed structure of GeTeAsOs2.

Geometry as CIF:
```
data_GeTeAsOs2
_cell_length_a 4.852
_cell_length_b 4.852
_cell_length_c 5.247
_cell_angle_alpha 90.00
_cell_angle_beta 90.00
_cell_angle_gamma 90.00
_symmetry_space_group_name_H-M 'P 4/m m m'
_symmetry_Int_Tables_number 123
_symmetry_space_group_name_Hall '-P 4 2'
loop_
_atom_site_label
_atom_site_fract_x
_atom_site_fract_y
_atom_site_fract_z
Ge1 0.000 0.000 0.000
Te1 0.000 0.000 0.500
As1 0.500 0.500 0.000
Os1 0.000 0.500 0.500
```

Summary:
Raw formation energy: 2131 meV per atom



# 3
VASP calculation (PBE) on a relaxed structure of AcCd3Hg6.

Geometry as CIF:
```
data_AcCd3Hg6
_cell_length_a 9.659
_cell_length_b 5.305
_cell_length_c 10.377
_cell_angle_alpha 90.00
_cell_angle_beta 101.34
_cell_angle_gamma 90.00
_symmetry_space_group_name_H-M 'P 1 21/m 1'
_symmetry_Int_Tables_number 11
loop_
_symmetry_equiv_pos_as_xyz
'x,y,z'
'-x,-y,-z'
'-x,y+1/2,-z'
'x,-y+1/2,z'
loop_
_atom_site_label
_atom_site_fract_x
_atom_site_fract_y
_atom_site_fract_z
Ac1 0.088 0.250 0.356
Cd1 0.249 0.250 0.037
Cd2 0.311 0.750 0.841
Cd3 0.419 0.250 0.590
Hg1 0.063 0.750 0.964
Hg2 0.139 0.250 0.712
Hg3 0.235 0.750 0.545
Hg4 0.246 0.750 0.239
Hg5 0.435 0.250 0.305
Hg6 0.490 0.250 0.893
```

Summary:
Final energy: -20.51 eV for the cell shown



# 4
VASP calculation (PBE) on a relaxed structure of Ca2ScAs3Rh4.

Geometry as CIF:
```
data_Ca2ScAs3Rh4
_cell_length_a 4.087
_cell_length_b 4.087
_cell_length_c 11.085
_cell_angle_alpha 90.00
_cell_angle_beta 90.00
_cell_angle_gamma 90.00
_symmetry_space_group_name_H-M 'P -4 m 2'
_symmetry_Int_Tables_number 115
loop_
_symmetry_equiv_pos_as_xyz
'x,y,z'
'y,-x,-z'
'-x,-y,z'
'-y,x,-z'
'-x,y,z'
'-y,-x,-z'
'x,-y,z'
'y,x,-z'
loop_
_atom_site_label
_atom_site_fract_x
_atom_site_fract_y
_atom_site_fract_z
Ca1 0.000 0.500 0.236
Sc1 0.000 0.000 0.500
As1 0.000 0.500 0.869
As2 0.500 0.500 0.500
Rh1 0.000 0.000 0.000
Rh2 0.000 0.500 0.650
Rh3 0.500 0.500 0.000
```

Summary:
Final energy: -62.56 eV for the cell shown



# 5
VASP calculation (PBE) on a relaxed structure of PPdNF2.

Geometry as CIF:
```
data_PPdNF2
_cell_length_a 4.250
_cell_length_b 4.250
_cell_length_c 3.873
_cell_angle_alpha 90.00
_cell_angle_beta 90.00
_cell_angle_gamma 90.00
_symmetry_space_group_name_H-M 'P 4/m m m'
_symmetry_Int_Tables_number 123
_symmetry_space_group_name_Hall '-P 4 2'
loop_
_atom_site_label
_atom_site_fract_x
_atom_site_fract_y
_atom_site_fract_z
P1 0.000 0.000 0.000
Pd1 0.500 0.500 0.500
N1 0.500 0.500 0.000
F1 0.000 0.500 0.500
```

Summary:
Raw formation energy: 490 meV per atom
Energy above the most stable polymorph in this dataset: 603.6 meV per atom



# 6
VASP calculation (PBE) on a relaxed structure of Cs2PbSeI6.

Geometry as CIF:
```
data_Cs2PbSeI6
_cell_length_a 8.439
_cell_length_b 8.439
_cell_length_c 14.222
_cell_angle_alpha 90.00
_cell_angle_beta 90.00
_cell_angle_gamma 90.00
_symmetry_space_group_name_H-M 'I 4/m m m'
_symmetry_Int_Tables_number 139
_symmetry_space_group_name_Hall '-I 4 2'
loop_
_atom_site_label
_atom_site_fract_x
_atom_site_fract_y
_atom_site_fract_z
Cs1 0.000 0.500 0.250
Pb1 0.000 0.000 0.000
Se1 0.000 0.000 0.500
I1 0.000 0.000 0.223
I2 0.234 0.234 0.500
```

Summary:
Raw formation energy: -738 meV per atom



# 7
VASP calculation (PBE) on a relaxed structure of TaTlPb2.

Geometry as CIF:
```
data_TaTlPb2
_cell_length_a 3.856
_cell_length_b 5.017
_cell_length_c 11.184
_cell_angle_alpha 90.00
_cell_angle_beta 90.00
_cell_angle_gamma 90.00
_symmetry_space_group_name_H-M 'C m m m'
_symmetry_Int_Tables_number 65
_symmetry_space_group_name_Hall '-C 2 2'
loop_
_atom_site_label
_atom_site_fract_x
_atom_site_fract_y
_atom_site_fract_z
Ta1 0.000 0.000 0.000
Tl1 0.000 0.000 0.500
Pb1 0.000 0.500 0.211
```

Summary:
Energy above the most stable polymorph in this dataset: 0.0 meV per atom



# 8
VASP calculation (PBE) on a relaxed structure of Ba2ZnGa6Pd.

Geometry as CIF:
```
data_Ba2ZnGa6Pd
_cell_length_a 6.660
_cell_length_b 6.670
_cell_length_c 7.288
_cell_angle_alpha 63.14
_cell_angle_beta 62.81
_cell_angle_gamma 60.06
_symmetry_space_group_name_H-M 'P -1'
_symmetry_Int_Tables_number 2
loop_
_symmetry_equiv_pos_as_xyz
'x,y,z'
'-x,-y,-z'
loop_
_atom_site_label
_atom_site_fract_x
_atom_site_fract_y
_atom_site_fract_z
Ba1 0.204 0.205 0.388
Zn1 0.500 0.500 0.500
Ga1 0.248 0.642 0.857
Ga2 0.253 0.248 0.855
Ga3 0.355 0.748 0.146
Pd1 0.000 0.000 0.000
```

Summary:
Final energy: -32.48 eV for the cell shown



# 9
VASP calculation (PBE) on a relaxed structure of DyTaRh.

Geometry as CIF:
```
data_DyTaRh
_cell_length_a 3.180
_cell_length_b 4.182
_cell_length_c 5.093
_cell_angle_alpha 90.00
_cell_angle_beta 90.00
_cell_angle_gamma 90.00
_symmetry_space_group_name_H-M 'P m m m'
_symmetry_Int_Tables_number 47
loop_
_symmetry_equiv_pos_as_xyz
'x,y,z'
'-x,-y,-z'
'-x,-y,z'
'x,y,-z'
'x,-y,-z'
'-x,y,z'
'-x,y,-z'
'x,-y,z'
loop_
_atom_site_label
_atom_site_fract_x
_atom_site_fract_y
_atom_site_fract_z
Dy1 0.000 0.000 0.000
Ta1 0.000 0.500 0.500
Rh1 0.500 0.000 0.500
```

Summary:
Final energy: -23.93 eV for the cell shown



# 10
VASP calculation (PBE) on a relaxed structure of La2MgW.

Geometry as CIF:
```
data_La2MgW
_cell_length_a 4.653
_cell_length_b 4.653
_cell_length_c 9.308
_cell_angle_alpha 90.00
_cell_angle_beta 90.00
_cell_angle_gamma 90.00
_symmetry_space_group_name_H-M 'I -4 m 2'
_symmetry_Int_Tables_number 119
_symmetry_space_group_name_Hall 'I -4 -2'
loop_
_atom_site_label
_atom_site_fract_x
_atom_site_fract_y
_atom_site_fract_z
La1 0.000 0.000 0.000
La2 0.000 0.500 0.250
Mg1 0.000 0.500 0.750
W1 0.000 0.000 0.500
```

Summary:
Energy above the most stable polymorph in this dataset: 150.9 meV per atom



# 11
VASP calculation (PBE) on a relaxed structure of GdPaSn.

Geometry as CIF:
```
data_GdPaSn
_cell_length_a 5.2596
_cell_length_b 5.2596
_cell_length_c 3.1812
_cell_angle_alpha 90.00
_cell_angle_beta 90.00
_cell_angle_gamma 120.00
_symmetry_space_group_name_H-M 'P -6 m 2'
_symmetry_Int_Tables_number 187
_symmetry_space_group_name_Hall 'P -6 2'
loop_
_atom_site_label
_atom_site_fract_x
_atom_site_fract_y
_atom_site_fract_z
Gd1 0.0000 0.0000 0.0000
Pa1 0.3333 0.6667 0.0000
Sn1 0.6667 0.3333 0.5000
```

Summary:
Final energy: -27.38 eV for the cell shown



# 12
VASP calculation (PBE) on a relaxed structure of DyScPdRh.

Geometry as CIF:
```
data_DyScPdRh
_cell_length_a 6.745
_cell_length_b 6.745
_cell_length_c 6.745
_cell_angle_alpha 90.00
_cell_angle_beta 90.00
_cell_angle_gamma 90.00
_symmetry_space_group_name_H-M 'F -4 3 m'
_symmetry_Int_Tables_number 216
_symmetry_space_group_name_Hall 'F -4 2 3'
loop_
_atom_site_label
_atom_site_fract_x
_atom_site_fract_y
_atom_site_fract_z
Dy1 0.000 0.000 0.000
Sc1 0.000 0.000 0.500
Pd1 0.250 0.250 0.250
Rh1 0.250 0.250 0.750
```

Summary:
Final energy: -108.13 eV for the cell shown



# 13
VASP calculation (PBE) on a relaxed structure of LiCr2In.

Geometry as CIF:
```
data_LiCr2In
_cell_length_a 3.043
_cell_length_b 4.739
_cell_length_c 8.769
_cell_angle_alpha 90.00
_cell_angle_beta 90.00
_cell_angle_gamma 90.00
_symmetry_space_group_name_H-M 'C m m 2'
_symmetry_Int_Tables_number 35
loop_
_symmetry_equiv_pos_as_xyz
'x,y,z'
'-x,-y,z'
'-x,y,z'
'x,-y,z'
'x+1/2,y+1/2,z'
'-x+1/2,-y+1/2,z'
'-x+1/2,y+1/2,z'
'x+1/2,-y+1/2,z'
loop_
_atom_site_label
_atom_site_fract_x
_atom_site_fract_y
_atom_site_fract_z
Li1 0.000 0.000 0.000
Cr1 0.000 0.000 0.441
Cr2 0.000 0.500 0.261
In1 0.000 0.500 0.720
```

Summary:
Final energy: -44.90 eV for the cell shown



no.,DOS at the Fermi energy (states/eV per atom)
1,0.5884
2,1.0221
3,0.3487
4,0.4717
5,0.7866
6,0.0000
7,0.4707
8,0.3332
9,0.9926
10,1.2072
11,1.9656
12,0.4156
13,0.5225